The following is a DFT calculation (GGA-PBE) of a relaxed structure of EuMn2P2.

Values from the calculation:
- DFT total energy (eV/atom) = -8.602
- ρ (g cm⁻³) = 6.19
- total magnetic moment (μB/f.u.) = 2.87
- formation energy from the elements (eV/atom) = -0.71

a = 3.821 Å, b = 3.821 Å, c = 6.868 Å
α = 90.00°, β = 90.00°, γ = 120.00°
Each line ends with the local moment (μB).
Sites, in units of the cell vectors:
Eu1 0.000 0.000 0.000  6.73
Mn1 0.667 0.333 0.616  -2.06
Mn2 0.333 0.667 0.384  -2.06
P1 0.667 0.333 0.285  0.08
P2 0.333 0.667 0.715  0.08